4
Lattice="2.779 -0.038 0.000 -0.909 2.626 0.000 0.000 0.000 9.604" Properties=species:S:1:pos:R:3 comment="CdTc2Hg | Alexandria via LeMat-Bulk | PBE-GGA | optimized geometry" mass_density_g_cm3=12.1 n_ef_per_ev_cell=3.162 formation_enthalpy_0k_mev_per_atom=666.2 e_tot_ev_per_cell=-19.284 relative_energy_kj_per_mol_atoms=47.4 pbc="T T T"
Cd 0.935 1.294 2.401
Hg 0.935 1.294 7.203
Tc 0.000 0.000 0.012
Tc 0.000 0.000 4.790



9
Lattice="-0.876 2.152 1.036 -6.646 -2.585 -0.253 4.049 -1.126 5.766" Properties=species:S:1:pos:R:3 comment="Zn2Cu7 | Alexandria via LeMat-Bulk | PBE-GGA | optimized geometry" mass_density_g_cm3=8.5 n_ef_per_ev_cell=2.235 formation_enthalpy_0k_mev_per_atom=-13.2 e_tot_ev_per_cell=-31.340 pbc="T T T"
Zn -3.081 -2.098 1.754
Zn 0.484 -1.612 3.760
Cu -4.716 -0.588 0.355
Cu 2.168 0.351 4.230
Cu -1.363 -0.246 2.482
Cu -2.021 -0.786 -0.077
Cu 1.232 -0.342 1.754
Cu -1.807 -2.582 3.836
Cu -0.438 1.076 0.518



6
Lattice="3.555 0.000 0.000 0.000 3.555 0.000 0.000 0.000 8.955" Properties=species:S:1:pos:R:3 comment="NbAlTe | Alexandria via LeMat-Bulk | PBE-GGA | optimized geometry" formation_energy_uncorrected_mev_per_atom=-208 mass_density_g_cm3=7.3 n_ef_per_ev_cell=3.777 e_tot_ev_per_cell=-35.157 relative_energy_kj_per_mol_atoms=0.0 pbc="T T T"
Nb 0.000 0.000 3.169
Nb 1.778 1.778 7.646
Te 0.000 0.000 6.184
Te 1.778 1.778 1.707
Al 0.000 0.000 0.104
Al 1.778 1.778 4.581



8
Lattice="-1.756 0.181 -2.667 2.311 -3.642 -1.768 -5.722 -4.442 5.385" Properties=species:S:1:pos:R:3 comment="Nb2HgB | Alexandria via LeMat-Bulk | PBE-GGA | optimized geometry" mass_density_g_cm3=10.1 n_ef_per_ev_cell=6.002 formation_enthalpy_0k_mev_per_atom=-215.5 e_tot_ev_per_cell=-55.961 relative_energy_kj_per_mol_atoms=4.8 pbc="T T T"
Nb -2.196 -2.146 -0.480
Nb -3.382 -5.538 1.987
Nb -0.822 -4.691 0.361
Nb -4.802 -3.074 1.172
B -3.119 -4.285 -0.017
B -2.463 -3.407 1.528
Hg 1.196 -3.029 -0.843
Hg -5.743 -4.819 3.611



8
Lattice="-1.042 -4.642 -5.803 -2.777 -5.192 4.652 -4.793 -3.748 -0.993" Properties=species:S:1:pos:R:3 comment="RbOs2W | Alexandria via LeMat-Bulk | PBE-GGA | optimized geometry" mass_density_g_cm3=12.2 n_ef_per_ev_cell=10.274 formation_enthalpy_0k_mev_per_atom=1767.6 e_tot_ev_per_cell=-58.620 relative_energy_kj_per_mol_atoms=0.0 pbc="T T T"
Os -2.264 -4.786 -3.667
Os -2.997 -4.464 2.307
Os -4.848 -6.165 -1.476
Os -7.115 -11.750 -1.453
Rb -1.910 -4.917 -0.576
Rb -4.740 -6.929 1.542
W 0.000 0.000 0.000
W -3.872 -6.654 -3.686



15
Lattice="9.182 -0.001 0.001 -4.592 7.951 -0.034 0.002 -5.264 9.100" Properties=species:S:1:pos:R:3 comment="Cs3Ce3DyTe8 | Alexandria via LeMat-Bulk | PBE-GGA | optimized geometry" formation_energy_uncorrected_mev_per_atom=-1347 mass_density_g_cm3=5.0 n_ef_per_ev_cell=13.348 e_tot_ev_per_cell=-70.303 pbc="T T T"
Cs 0.000 0.000 0.000
Cs -2.296 3.975 -0.017
Cs 2.295 3.975 -0.016
Ce 4.592 -2.633 4.551
Ce 2.296 1.343 4.534
Ce -2.295 1.343 4.533
Dy 0.001 -2.632 4.550
Te 0.000 2.661 2.775
Te 4.592 0.024 6.293
Te 4.591 2.691 2.821
Te 0.001 -0.006 6.247
Te 6.913 -1.329 2.838
Te -2.321 4.015 6.230
Te 2.270 -1.329 2.837
Te 2.322 4.014 6.230



5
Lattice="-1.799 2.216 2.009 -0.321 -2.474 2.442 2.974 1.074 1.479" Properties=species:S:1:pos:R:3 comment="Be3ZnH | Alexandria via LeMat-Bulk | PBE-GGA | optimized geometry" mass_density_g_cm3=3.6 n_ef_per_ev_cell=2.010 e_tot_ev_per_cell=-13.860 relative_energy_kj_per_mol_atoms=0.0 pbc="T T T"
Be -0.161 -1.237 1.221
Be 1.487 0.537 0.740
Be -0.900 1.108 1.004
Zn 0.427 0.408 2.965
H 0.000 0.000 0.000



5
Lattice="5.250 0.000 0.000 0.000 4.862 0.000 0.000 0.000 5.250" Properties=species:S:1:pos:R:3 comment="HfTaTe2Pt | Alexandria via LeMat-Bulk | PBE-GGA | optimized geometry" formation_energy_uncorrected_mev_per_atom=850 mass_density_g_cm3=10.0 n_ef_per_ev_cell=5.209 e_tot_ev_per_cell=-29.882 pbc="T T T"
Te 0.000 0.000 2.625
Te 2.625 0.000 0.000
Hf 2.625 2.431 2.625
Pt 0.000 0.000 0.000
Ta 0.000 2.431 0.000



18
Lattice="-1.229 3.662 -2.958 -1.900 -5.337 -5.817 -7.191 -1.461 3.689" Properties=species:S:1:pos:R:3 comment="Te2AsPd6 | Alexandria via LeMat-Bulk | PBE-GGA | optimized geometry" formation_energy_uncorrected_mev_per_atom=-235 mass_density_g_cm3=10.1 n_ef_per_ev_cell=10.239 e_tot_ev_per_cell=-88.411 pbc="T T T"
Te -6.901 0.640 -2.589
Te -8.105 -4.015 -3.592
Te -2.214 0.879 -1.495
Te -3.419 -3.777 -2.498
As -1.564 -0.838 -4.388
As -3.595 -0.730 1.844
Pd -3.131 -5.397 -5.011
Pd -5.936 -4.769 -1.850
Pd -9.411 -1.543 -3.145
Pd -4.827 0.324 -0.687
Pd -7.252 -0.612 0.433
Pd -3.812 -1.180 -2.991
Pd -7.189 2.261 -0.076
Pd -4.384 1.632 -3.237
Pd -0.908 -1.593 -1.942
Pd -5.492 -3.460 -4.399
Pd -3.068 -2.525 -5.519
Pd -6.508 -1.956 -2.096



8
Lattice="-3.684 1.359 -1.826 0.758 -5.374 -5.532 -4.035 -3.059 5.865" Properties=species:S:1:pos:R:3 comment="Pm4Te3Au | Alexandria via LeMat-Bulk | PBE-GGA | optimized geometry" formation_energy_uncorrected_mev_per_atom=-1264 mass_density_g_cm3=7.8 n_ef_per_ev_cell=5.793 e_tot_ev_per_cell=-41.821 pbc="T T T"
Pm -0.762 -1.961 0.078
Pm -2.256 -4.128 -3.657
Pm -2.515 -6.472 0.256
Pm -4.705 -2.946 2.165
Te -2.018 -1.530 2.933
Te -3.481 -3.537 -0.746
Te 0.379 -2.687 -2.766
Au -1.842 0.680 -0.913



28
Lattice="10.974 1.185 2.273 2.079 10.840 2.273 1.287 1.185 11.132" Properties=species:S:1:pos:R:3 comment="Rb3Pd2I9 | Alexandria via LeMat-Bulk | PBE-GGA | optimized geometry" formation_energy_uncorrected_mev_per_atom=-698 mass_density_g_cm3=4.3 n_ef_per_ev_cell=16.180 e_tot_ev_per_cell=-74.010 pbc="T T T"
Rb 6.212 8.723 3.605
Rb 5.398 10.898 9.171
Rb 11.569 7.733 6.193
Rb 2.770 5.478 9.486
Rb 8.942 2.313 6.509
Rb 8.127 4.488 12.075
Pd 2.566 2.364 2.805
Pd 9.735 8.969 10.645
Pd 11.774 10.847 12.874
Pd 4.604 4.242 5.034
I 9.695 10.408 4.289
I 3.687 10.665 5.640
I 3.716 4.901 2.453
I 9.056 9.819 8.097
I 9.282 11.506 11.760
I 12.358 9.908 10.293
I 3.959 6.780 5.938
I 7.212 4.988 4.473
I 11.062 4.399 4.175
I 3.277 8.811 11.504
I 7.127 8.222 11.207
I 5.057 1.704 3.920
I 10.380 6.431 9.741
I 1.981 3.303 5.386
I 5.283 3.391 7.582
I 10.623 8.310 13.226
I 10.652 2.545 10.039
I 4.644 2.802 11.390



5
Lattice="3.977 0.000 0.000 0.000 3.977 0.000 0.000 0.000 5.680" Properties=species:S:1:pos:R:3 comment="MgZnIO2 | Alexandria via LeMat-Bulk | PBE-GGA | optimized geometry" formation_energy_uncorrected_mev_per_atom=-318 mass_density_g_cm3=4.6 n_ef_per_ev_cell=3.864 e_tot_ev_per_cell=-15.925 relative_energy_kj_per_mol_atoms=14.7 pbc="T T T"
I 0.000 0.000 2.840
Zn 0.000 0.000 0.000
Mg 1.989 1.989 2.840
O 0.000 1.989 0.000
O 1.989 0.000 0.000



5
Lattice="5.020 0.000 0.000 0.000 5.020 0.000 0.000 0.000 4.413" Properties=species:S:1:pos:R:3 comment="IrRuSCl2 | Alexandria via LeMat-Bulk | PBE-GGA | optimized geometry" formation_energy_uncorrected_mev_per_atom=898 mass_density_g_cm3=5.9 n_ef_per_ev_cell=4.192 e_tot_ev_per_cell=-21.467 relative_energy_kj_per_mol_atoms=0.0 pbc="T T T"
Ru 2.510 2.510 2.207
S 0.000 0.000 2.207
Ir 0.000 0.000 0.000
Cl 0.000 2.510 0.000
Cl 2.510 0.000 0.000



12
Lattice="-6.103 0.480 1.798 0.318 -6.314 0.860 5.110 4.015 5.906" Properties=species:S:1:pos:R:3 comment="Ac2Rh3Pb | Alexandria via LeMat-Bulk | PBE-GGA | optimized geometry" mass_density_g_cm3=10.4 n_ef_per_ev_cell=14.711 formation_enthalpy_0k_mev_per_atom=-396.9 e_tot_ev_per_cell=-72.722 relative_energy_kj_per_mol_atoms=6.0 pbc="T T T"
Ac 1.268 -2.608 4.047
Ac -4.391 -4.429 2.018
Ac -1.943 0.789 4.516
Ac -1.394 -1.406 0.640
Rh -0.910 -4.432 2.318
Rh 3.450 -0.789 5.777
Rh 0.235 2.612 6.246
Rh -4.125 -1.031 2.787
Rh 0.693 0.343 2.262
Rh -1.369 -2.163 6.301
Pb -2.150 -2.550 3.752
Pb 1.475 0.730 4.812



5
Lattice="4.575 0.000 0.000 0.000 4.575 0.000 0.000 0.000 4.575" Properties=species:S:1:pos:R:3 comment="LaNiOs3 | Alexandria via LeMat-Bulk | PBE-GGA | optimized geometry" mass_density_g_cm3=13.3 n_ef_per_ev_cell=7.073 formation_enthalpy_0k_mev_per_atom=1121.0 e_tot_ev_per_cell=-38.793 relative_energy_kj_per_mol_atoms=0.0 pbc="T T T"
Ni 0.000 0.000 0.000
Os 0.000 2.288 0.000
Os 0.000 0.000 2.288
Os 2.288 0.000 0.000
La 2.288 2.288 2.288



18
Lattice="4.964 0.000 0.000 -2.482 4.299 0.000 0.000 0.000 8.832" Properties=species:S:1:pos:R:3 comment="ZnSiPtO6 | Alexandria via LeMat-Bulk | PBE-GGA | optimized geometry" formation_energy_uncorrected_mev_per_atom=-1249 mass_density_g_cm3=6.8 n_ef_per_ev_cell=6.715 e_tot_ev_per_cell=-107.448 pbc="T T T"
Zn 0.000 0.000 0.000
Zn 0.000 0.000 4.416
Si 2.482 1.433 2.208
Si 0.000 2.866 6.624
Pt 0.000 2.866 2.208
Pt 2.482 1.433 6.624
O 1.711 2.713 1.215
O 3.976 1.460 1.215
O -0.723 4.173 5.630
O -1.494 2.838 7.617
O 0.988 1.460 3.201
O 3.253 2.713 3.201
O 0.723 4.173 7.617
O 3.205 0.126 3.201
O -0.771 1.586 5.630
O 1.759 0.126 1.215
O 1.494 2.838 5.630
O 0.771 1.586 7.617



8
Lattice="-6.150 -2.202 0.997 3.085 -1.089 -5.741 5.445 -2.302 7.083" Properties=species:S:1:pos:R:3 comment="TbHo6Tl | Alexandria via LeMat-Bulk | PBE-GGA | optimized geometry" mass_density_g_cm3=9.2 n_ef_per_ev_cell=11.073 formation_enthalpy_0k_mev_per_atom=95.5 e_tot_ev_per_cell=-33.699 relative_energy_kj_per_mol_atoms=16.2 pbc="T T T"
Tb 1.190 -2.796 1.170
Ho 3.508 -2.351 4.420
Ho -2.044 -2.317 1.069
Ho -1.128 -3.242 -2.081
Ho 0.412 -3.759 4.198
Ho 4.425 -3.276 1.271
Ho 1.968 -1.834 -1.858
Tl 0.000 0.000 0.000



3
Lattice="2.916 0.000 0.000 0.000 4.057 0.000 0.000 0.000 4.364" Properties=species:S:1:pos:R:3 comment="VZnOs | Alexandria via LeMat-Bulk | PBE-GGA | optimized geometry" mass_density_g_cm3=9.9 n_ef_per_ev_cell=2.522 formation_enthalpy_0k_mev_per_atom=408.0 e_tot_ev_per_cell=-20.398 relative_energy_kj_per_mol_atoms=48.9 pbc="T T T"
V 1.458 2.029 0.000
Zn 1.458 0.000 2.182
Os 0.000 0.000 0.000



5
Lattice="6.127 0.000 0.000 0.000 6.127 0.000 0.000 0.000 6.127" Properties=species:S:1:pos:R:3 comment="K3CoW | Alexandria via LeMat-Bulk | PBE-GGA | optimized geometry" mass_density_g_cm3=2.6 n_ef_per_ev_cell=21.993 formation_enthalpy_0k_mev_per_atom=1910.6 e_tot_ev_per_cell=-13.799 relative_energy_kj_per_mol_atoms=0.0 pbc="T T T"
K 0.000 3.063 0.000
K 0.000 0.000 3.063
K 3.063 0.000 0.000
Co 0.000 0.000 0.000
W 3.063 3.063 3.063



4
Lattice="4.823 0.000 0.000 2.412 4.177 0.000 2.412 1.392 3.938" Properties=species:S:1:pos:R:3 comment="NaMgAgGe | Alexandria via LeMat-Bulk | PBE-GGA | optimized geometry" mass_density_g_cm3=4.8 n_ef_per_ev_cell=1.867 formation_enthalpy_0k_mev_per_atom=-48.3 e_tot_ev_per_cell=-10.575 pbc="T T T"
Na 4.823 2.785 1.969
Ge 2.412 1.392 0.985
Mg 0.000 0.000 0.000
Ag 7.235 4.177 2.954



8
Lattice="5.499 0.000 0.000 0.000 5.499 0.000 2.749 2.749 2.995" Properties=species:S:1:pos:R:3 comment="TiB2S | Alexandria via LeMat-Bulk | PBE-GGA | optimized geometry" formation_energy_uncorrected_mev_per_atom=341 mass_density_g_cm3=3.7 n_ef_per_ev_cell=4.813 e_tot_ev_per_cell=-48.027 pbc="T T T"
S 2.749 2.749 0.000
S 2.749 5.499 1.497
B 3.767 1.375 0.749
B 1.732 4.124 0.749
B 4.124 4.481 2.246
B 6.873 6.516 2.246
Ti 0.000 0.000 0.000
Ti 5.499 2.749 1.497



4
Lattice="-0.093 7.936 1.251 -1.318 6.482 4.562 2.423 6.643 3.816" Properties=species:S:1:pos:R:3 comment="HgRuSe2 | Alexandria via LeMat-Bulk | PBE-GGA | optimized geometry" formation_energy_uncorrected_mev_per_atom=-124 mass_density_g_cm3=7.8 n_ef_per_ev_cell=1.075 e_tot_ev_per_cell=-17.042 pbc="T T T"
Ru 0.506 10.531 4.815
Hg 0.000 0.000 0.000
Se 0.896 18.637 8.521
Se 0.117 2.424 1.108



3
Lattice="6.278 -0.003 -0.100 4.016 4.825 0.100 -5.107 -2.496 2.666" Properties=species:S:1:pos:R:3 comment="SrTlMo | Alexandria via LeMat-Bulk | PBE-GGA | optimized geometry" mass_density_g_cm3=8.0 n_ef_per_ev_cell=4.546 formation_enthalpy_0k_mev_per_atom=704.8 e_tot_ev_per_cell=-12.765 relative_energy_kj_per_mol_atoms=0.0 pbc="T T T"
Mo 0.431 0.202 0.000
Sr 3.463 1.622 0.000
Tl 6.400 2.999 0.000



4
Lattice="-3.240 0.645 0.865 -0.171 -4.720 2.882 1.740 2.691 4.510" Properties=species:S:1:pos:R:3 comment="Ce2ScAg | Alexandria via LeMat-Bulk | PBE-GGA | optimized geometry" mass_density_g_cm3=6.9 n_ef_per_ev_cell=12.158 formation_enthalpy_0k_mev_per_atom=81.7 e_tot_ev_per_cell=-20.724 relative_energy_kj_per_mol_atoms=3.4 pbc="T T T"
Sc -0.836 -0.692 4.128
Ce 0.870 1.345 2.255
Ce -0.086 -2.360 1.441
Ag -1.620 0.323 0.432